First-principles (meta-GGA SCAN) data for RbBaTaAg2 at its PBEsol-relaxed geometry, as listed in the Alexandria database.

Calculated values
The formation energy is 1.91 eV/atom. For the final energy, the calculation gives -36.014 eV per atom.

```
data_RbBaTaAg2
_cell_length_a 5.3766
_cell_length_b 5.3766
_cell_length_c 5.9193
_cell_angle_alpha 90.00
_cell_angle_beta 90.00
_cell_angle_gamma 90.00
_symmetry_space_group_name_H-M 'P 4/m m m'
_symmetry_Int_Tables_number 123
_symmetry_space_group_name_Hall '-P 4 2'
loop_
_atom_site_label
_atom_site_type_symbol
_atom_site_fract_x
_atom_site_fract_y
_atom_site_fract_z
Rb1 Rb 0.0000 0.0000 0.0000
Ba1 Ba 0.0000 0.0000 0.5000
Ta1 Ta 0.5000 0.5000 0.5000
Ag1 Ag 0.0000 0.5000 0.0000
```